Density functional theory data (PBE-GGA) for crystalline CoCuBiIr at its relaxed geometry.

## Properties
total magnetic moment: 1.64 μB/f.u.
electronic total energy: -21.890 eV per cell

a = 4.4650 Å, b = 4.4650 Å, c = 4.4650 Å
α = 60.00°, β = 60.00°, γ = 60.00°
Fractional coordinates of all 4 atoms:
Bi (0.0000, 0.0000, 0.0000)
Co (0.7500, 0.7500, 0.7500)
Cu (0.2500, 0.2500, 0.2500)
Ir (0.5000, 0.5000, 0.5000)